[1]
Density functional theory data (meta-GGA SCAN) for Y2MgAg at its PBEsol-relaxed geometry.

Computed properties:
Symmetry: Imm2
Total magnetization (Bohr magnetons per cell): 0.3
DOS at the Fermi energy (states/eV per cell): 3.293
Calculated total energy (eV/atom): -23.199
Formation energy from the elements (kJ per mole of atoms): -18.6

a b c (Å): 3.5454 5.2095 6.2015
angles (deg): 114.84 106.61 90.00
With the nearest neighbours (Å) after each atom.
Fractional coordinates of all 4 atoms:
Y1 0.2195 0.7196 0.4391  2 Ag 3.05, 4 Mg 3.23
Mg1 0.7879 0.2879 0.5758  2 Ag 2.77
Y2 0.0056 0.0055 0.0111  4 Ag 3.16, 4 Y 3.47-3.53, 4 Mg 3.49-3.50
Ag1 0.4870 0.4870 0.9740  2 Mg 2.77, 2 Y 3.05

***

[2]
Density functional theory data (meta-GGA SCAN) for Y2MgAg at its PBEsol-relaxed geometry.

Computed properties:
Symmetry: P4mm
Total magnetization (Bohr magnetons per cell): 1.5
DOS at the Fermi energy (states/eV per cell): 1.668
Calculated total energy (eV/atom): -23.195
Formation energy from the elements (kJ per mole of atoms): -18.2

a b c (Å): 3.6258 3.6258 7.4702
angles (deg): 90.00 90.00 90.00
With the nearest neighbours (Å) after each atom.
Fractional coordinates of all 4 atoms:
Y1 0.0000 0.0000 0.9793  4 Mg 3.25, 1 Ag 3.40, 8 Y 3.44-3.63
Mg1 0.5000 0.5000 0.7115  4 Ag 2.92, 5 Y 3.18-3.25
Y2 0.5000 0.5000 0.2856  4 Ag 3.12, 1 Mg 3.18, 4 Y 3.44
Ag1 0.0000 0.0000 0.5236  4 Mg 2.92, 4 Y 3.12